i.
Entry from Alexandria via LeMat-Bulk: a relaxed LaCuRu3 crystal (PBE-GGA).

Output
Space-group type = Pm-3m (221)
Volume = 110.69 Å³/cell

a = 4.8014 Å, b = 4.8014 Å, c = 4.8014 Å
α = 90.00°, β = 90.00°, γ = 90.00°
Fractional positions:
La  0.0000  0.0000  0.0000
Cu  0.5000  0.5000  0.5000
Ru  0.0000  0.0000  0.5000
Ru  0.0000  0.5000  0.0000
Ru  0.5000  0.0000  0.0000

ii.
Entry from Alexandria via LeMat-Bulk: a relaxed LaCuRu3 crystal (PBE-GGA).

Output
Space-group type = Pm-3m (221)
Volume = 96.31 Å³/cell

a = 4.5838 Å, b = 4.5838 Å, c = 4.5838 Å
α = 90.00°, β = 90.00°, γ = 90.00°
Fractional positions:
La  0.0000  0.0000  0.0000
Cu  0.5000  0.5000  0.5000
Ru  0.0000  0.5000  0.5000
Ru  0.5000  0.0000  0.5000
Ru  0.5000  0.5000  0.0000

Stability ranking, top and bottom: ii is the most stable and i is the least stable.

i.
Entry from Alexandria via LeMat-Bulk: a relaxed La2CuS4 crystal (PBE-GGA).

Output
Space-group type = P2_1/m (11)
Volume = 308.58 Å³/cell

a = 6.8404 Å, b = 5.7491 Å, c = 8.2238 Å
α = 90.00°, β = 107.42°, γ = 90.00°
Fractional positions:
La  0.2254  0.2500  0.4299
La  0.2441  0.2500  0.9372
La  0.7559  0.7500  0.0628
La  0.7746  0.7500  0.5701
Cu  0.2530  0.7500  0.1898
Cu  0.7470  0.2500  0.8102
S  0.0697  0.7500  0.3839
S  0.0792  0.7500  0.9034
S  0.4882  0.5123  0.7407
S  0.4882  0.9877  0.7407
S  0.5118  0.0123  0.2593
S  0.5118  0.4877  0.2593
S  0.9208  0.2500  0.0966
S  0.9303  0.2500  0.6161

ii.
Entry from Alexandria via LeMat-Bulk: a relaxed La2CuS4 crystal (PBE-GGA).

Output
Space-group type = P2_1/c (14)
Volume = 623.40 Å³/cell

a = 7.7476 Å, b = 7.5871 Å, c = 10.9736 Å
α = 90.00°, β = 104.88°, γ = 90.00°
Fractional positions:
La  0.0299  0.1276  0.3249
La  0.0299  0.3724  0.8249
La  0.4404  0.2019  0.1363
La  0.4404  0.2981  0.6363
La  0.5596  0.7019  0.3637
La  0.5596  0.7981  0.8637
La  0.9701  0.6276  0.1751
La  0.9701  0.8724  0.6751
Cu  0.1772  0.6173  0.4965
Cu  0.1772  0.8827  0.9965
Cu  0.8228  0.1173  0.0035
Cu  0.8228  0.3827  0.5035
S  0.0552  0.2093  0.5876
S  0.0552  0.2907  0.0876
S  0.2534  0.6031  0.7081
S  0.2534  0.8969  0.2081
S  0.2900  0.0674  0.8752
S  0.2900  0.4326  0.3752
S  0.3861  0.5518  0.0231
S  0.3861  0.9482  0.5231
S  0.6139  0.0518  0.4769
S  0.6139  0.4482  0.9769
S  0.7100  0.5674  0.6248
S  0.7100  0.9326  0.1248
S  0.7466  0.1031  0.7919
S  0.7466  0.3969  0.2919
S  0.9448  0.7093  0.9124
S  0.9448  0.7907  0.4124

Stability ranking, top and bottom: ii is the most stable and i is the least stable.

i.
Entry from Alexandria via LeMat-Bulk: a relaxed La2CuSbS5 crystal (PBE-GGA).

Output
Space-group type = Ima2 (46)
Volume = 389.30 Å³/cell

a = 8.5735 Å, b = 8.5735 Å, c = 8.5735 Å
α = 78.26°, β = 127.47°, γ = 126.53°
Fractional positions:
La  0.0000  0.0000  0.0000
La  0.0000  0.5000  0.5000
La  0.2505  0.1372  0.6133
La  0.5239  0.6372  0.3867
Cu  0.5360  0.0360  0.5000
Cu  0.5360  0.5360  0.0000
Sb  0.5423  0.9668  0.0755
Sb  0.8914  0.4668  0.9245
S  0.0124  0.7512  0.7611
S  0.1742  0.4330  0.9431
S  0.1742  0.7311  0.2412
S  0.4899  0.2311  0.0569
S  0.4899  0.9330  0.7588
S  0.4938  0.2798  0.4249
S  0.4938  0.5690  0.7140
S  0.8549  0.0690  0.5751
S  0.8549  0.7798  0.2860
S  0.9901  0.2512  0.2389

ii.
Entry from Alexandria via LeMat-Bulk: a relaxed La2CuSbS5 crystal (PBE-GGA).

Output
Space-group type = Cmc2_1 (36)
Volume = 425.28 Å³/cell

a = 9.0094 Å, b = 9.0094 Å, c = 11.8849 Å
α = 90.00°, β = 90.00°, γ = 153.84°
Fractional positions:
La  0.1177  0.8823  0.5000
La  0.1247  0.8753  0.1274
La  0.8753  0.1247  0.6274
La  0.8823  0.1177  0.0000
Cu  0.2500  0.7500  0.9328
Cu  0.7500  0.2500  0.4328
Sb  0.4073  0.5927  0.2968
Sb  0.5927  0.4073  0.7968
S  0.0341  0.9659  0.9022
S  0.3005  0.6995  0.1294
S  0.3067  0.6933  0.4716
S  0.3544  0.6456  0.8181
S  0.4955  0.5045  0.1132
S  0.5045  0.4955  0.6132
S  0.6456  0.3544  0.3181
S  0.6933  0.3067  0.9716
S  0.6995  0.3005  0.6294
S  0.9659  0.0341  0.4022

Stability ranking, top and bottom: i is the most stable and ii is the least stable.

i.
Entry from Alexandria via LeMat-Bulk: a relaxed LaTi2CuS crystal (PBE-GGA).

Output
Space-group type = P4/mmm (123)
Volume = 122.42 Å³/cell

a = 4.5962 Å, b = 4.5962 Å, c = 5.7951 Å
α = 90.00°, β = 90.00°, γ = 90.00°
Fractional positions:
La  0.0000  0.0000  0.0000
Ti  0.0000  0.5000  0.5000
Ti  0.5000  0.0000  0.5000
Cu  0.0000  0.0000  0.5000
S  0.5000  0.5000  0.0000

ii.
Entry from Alexandria via LeMat-Bulk: a relaxed LaTi2CuS crystal (PBE-GGA).

Output
Space-group type = P4/mmm (123)
Volume = 112.06 Å³/cell

a = 4.5385 Å, b = 4.5385 Å, c = 5.4405 Å
α = 90.00°, β = 90.00°, γ = 90.00°
Fractional positions:
La  0.0000  0.0000  0.0000
Ti  0.0000  0.5000  0.5000
Ti  0.5000  0.0000  0.5000
Cu  0.5000  0.5000  0.0000
S  0.0000  0.0000  0.5000

Stability ranking, top and bottom: ii is the most stable and i is the least stable.

i.
Entry from Alexandria via LeMat-Bulk: a relaxed La2CuSb2 crystal (PBE-GGA).

Output
Space-group type = I4/mmm (139)
Volume = 176.15 Å³/cell

a = 6.2801 Å, b = 6.2801 Å, c = 6.2801 Å
α = 119.61°, β = 119.61°, γ = 90.67°
Fractional positions:
La  0.2500  0.7500  0.5000
La  0.7500  0.2500  0.5000
Cu  0.0000  0.0000  0.0000
Sb  0.2909  0.2909  0.0000
Sb  0.7091  0.7091  0.0000

ii.
Entry from Alexandria via LeMat-Bulk: a relaxed La2CuSb2 crystal (PBE-GGA).

Output
Space-group type = P4/mbm (127)
Volume = 306.22 Å³/cell

a = 8.2163 Å, b = 8.2163 Å, c = 4.5362 Å
α = 90.00°, β = 90.00°, γ = 90.00°
Fractional positions:
La  0.1767  0.3233  0.0000
La  0.3233  0.8233  0.0000
La  0.6767  0.1767  0.0000
La  0.8233  0.6767  0.0000
Cu  0.0000  0.0000  0.0000
Cu  0.5000  0.5000  0.0000
Sb  0.1273  0.6273  0.5000
Sb  0.3727  0.1273  0.5000
Sb  0.6273  0.8727  0.5000
Sb  0.8727  0.3727  0.5000

iii.
Entry from Alexandria via LeMat-Bulk: a relaxed La2CuSb2 crystal (PBE-GGA).

Output
Space-group type = P4/mbm (127)
Volume = 290.78 Å³/cell

a = 8.0996 Å, b = 8.0996 Å, c = 4.4324 Å
α = 90.00°, β = 90.00°, γ = 90.00°
Fractional positions:
La  0.1526  0.3474  0.0000
La  0.3474  0.8474  0.0000
La  0.6526  0.1526  0.0000
La  0.8474  0.6526  0.0000
Cu  0.0000  0.0000  0.5000
Cu  0.5000  0.5000  0.5000
Sb  0.1595  0.6595  0.5000
Sb  0.3405  0.1595  0.5000
Sb  0.6595  0.8405  0.5000
Sb  0.8405  0.3405  0.5000

Stability ranking, top and bottom: iii is the most stable and i is the least stable.

i.
Entry from Alexandria via LeMat-Bulk: a relaxed LaCu3Sb crystal (PBE-GGA).

Output
Space-group type = Pm-3m (221)
Volume = 134.58 Å³/cell

a = 5.1245 Å, b = 5.1245 Å, c = 5.1245 Å
α = 90.00°, β = 90.00°, γ = 90.00°
Fractional positions:
La  0.0000  0.0000  0.0000
Cu  0.0000  0.0000  0.5000
Cu  0.0000  0.5000  0.0000
Cu  0.5000  0.0000  0.0000
Sb  0.5000  0.5000  0.5000

ii.
Entry from Alexandria via LeMat-Bulk: a relaxed LaCu3Sb crystal (PBE-GGA).

Output
Space-group type = Pm-3m (221)
Volume = 115.67 Å³/cell

a = 4.8724 Å, b = 4.8724 Å, c = 4.8724 Å
α = 90.00°, β = 90.00°, γ = 90.00°
Fractional positions:
La  0.0000  0.0000  0.0000
Cu  0.0000  0.5000  0.5000
Cu  0.5000  0.0000  0.5000
Cu  0.5000  0.5000  0.0000
Sb  0.5000  0.5000  0.5000

Stability ranking, top and bottom: ii is the most stable and i is the least stable.